1.
First-principles (PBE) data for RuWSe2 after structural relaxation, as listed in Alexandria via LeMat-Bulk.

Cell lengths 5.629, 5.629, 10.970 Å; angles 90.00, 90.00, 90.00 degrees
Space group I-42d (No. 122)
Symmetry-distinct sites (fractional):
Ru (0.000, 0.000, 0.000) x4
W (0.000, 0.000, 0.500) x4
Se (0.244, 0.250, 0.125) x8

Energy relative to the lowest polymorph listed for this composition ... 513 meV/atom
Calculated total energy ... -109.08 eV per cell
Uncorrected formation energy ... 0.48 eV per atom

=====

2.
First-principles (PBE) data for RuWSe2 after structural relaxation, as listed in Alexandria via LeMat-Bulk.

Cell lengths 3.1455, 3.1455, 24.9631 Å; angles 90.00, 90.00, 120.00 degrees
Space group R-3m (No. 166, hexagonal axes)
Symmetry-distinct sites (fractional):
Ru (0.0000, 0.0000, 0.0000) x3
W (0.0000, 0.0000, 0.5000) x3
Se (0.0000, 0.0000, 0.0949) x6

Energy relative to the lowest polymorph listed for this composition ... 272 meV/atom
Calculated total energy ... -84.70 eV per cell
Uncorrected formation energy ... 0.24 eV per atom

=====

3.
First-principles (PBE) data for RuW2Se after structural relaxation, as listed in Alexandria via LeMat-Bulk.

Cell lengths 3.737, 3.737, 4.569 Å; angles 90.00, 90.00, 90.00 degrees
Space group P4/mmm (No. 123)
Symmetry-distinct sites (fractional):
Ru (0.000, 0.000, 0.000) x1
W (0.000, 0.500, 0.500) x2
Se (0.500, 0.500, 0.000) x1

Calculated total energy ... -36.02 eV per cell
Uncorrected formation energy ... 0.66 eV per atom

=====

4.
First-principles (PBE) data for RuWSe2 after structural relaxation, as listed in Alexandria via LeMat-Bulk.

Cell lengths 3.020, 4.425, 9.727 Å; angles 90.00, 90.00, 90.00 degrees
Space group Imm2 (No. 44)
Symmetry-distinct sites (fractional):
Ru (0.000, 0.000, 0.000) x2
W (0.000, 0.500, 0.749) x2
Se (0.000, 0.000, 0.485) x2
Se (0.000, 0.500, 0.272) x2

Energy relative to the lowest polymorph listed for this composition ... 455 meV/atom
Calculated total energy ... -55.01 eV per cell
Uncorrected formation energy ... 0.42 eV per atom

=====

5.
First-principles (PBE) data for RuWSe2 after structural relaxation, as listed in Alexandria via LeMat-Bulk.

Cell lengths 5.245, 6.143, 8.569 Å; angles 90.00, 90.00, 90.00 degrees
Space group Fmmm (No. 69)
Symmetry-distinct sites (fractional):
Ru (0.000, 0.000, 0.000) x4
W (0.000, 0.000, 0.500) x4
Se (0.000, 0.250, 0.250) x8

Energy relative to the lowest polymorph listed for this composition ... 644 meV/atom
Calculated total energy ... -106.99 eV per cell
Uncorrected formation energy ... 0.61 eV per atom

=====

6.
First-principles (PBE) data for RuW3Se after structural relaxation, as listed in Alexandria via LeMat-Bulk.

Cell lengths 4.536, 4.536, 4.536 Å; angles 90.00, 90.00, 90.00 degrees
Space group Pm-3m (No. 221)
Symmetry-distinct sites (fractional):
Ru (0.000, 0.000, 0.000) x1
W (0.000, 0.500, 0.500) x3
Se (0.500, 0.500, 0.500) x1

Energy relative to the lowest polymorph listed for this composition ... 0 meV/atom
Calculated total energy ... -42.57 eV per cell
Uncorrected formation energy ... 1.81 eV per atom

=====

7.
First-principles (PBE) data for RuWSe2 after structural relaxation, as listed in Alexandria via LeMat-Bulk.

Cell lengths 4.009, 4.009, 8.063 Å; angles 90.00, 90.00, 90.00 degrees
Space group I-4m2 (No. 119)
Symmetry-distinct sites (fractional):
Ru (0.000, 0.000, 0.000) x2
W (0.000, 0.500, 0.250) x2
Se (0.000, 0.000, 0.500) x2
Se (0.000, 0.500, 0.750) x2

Energy relative to the lowest polymorph listed for this composition ... 668 meV/atom
Calculated total energy ... -53.30 eV per cell
Uncorrected formation energy ... 0.64 eV per atom

=====

8.
First-principles (PBE) data for RuW2Se after structural relaxation, as listed in Alexandria via LeMat-Bulk.

Cell lengths 2.880, 4.111, 5.414 Å; angles 90.00, 103.39, 90.00 degrees
Space group P2/m (No. 10)
Symmetry-distinct sites (fractional):
Ru (0.000, 0.000, 0.000) x1
W (0.449, 0.500, 0.751) x2
Se (0.000, 0.000, 0.500) x1

Calculated total energy ... -37.09 eV per cell
Uncorrected formation energy ... 0.39 eV per atom